## P
YMg2C2 | GGA-PBE | relaxed

Computed properties:
Crystal system: tetragonal
DOS at the Fermi energy, states/eV/f.u.: 2.3
Magnetic moment, μB per formula unit: 0.000
Symmetry: I4/mmm (139)

Lattice parameters (Å, degrees): 6.081 6.081 6.081 143.92 143.92 51.95
Fractional positions:
Y  0.000  0.000  0.000
Mg  0.250  0.750  0.500
Mg  0.750  0.250  0.500
C  0.438  0.438  0.000
C  0.562  0.562  0.000

## Q
YMg2C2 | GGA-PBE | relaxed

Computed properties:
Crystal system: tetragonal
DOS at the Fermi energy, states/eV/f.u.: 2.7
Magnetic moment, μB per formula unit: 0.000
Symmetry: P4/mbm (127)

Lattice parameters (Å, degrees): 6.890 6.890 3.046 90.00 90.00 90.00
Fractional positions:
Y  0.000  0.000  0.000
Y  0.500  0.500  0.000
Mg  0.136  0.364  0.500
Mg  0.364  0.864  0.500
Mg  0.636  0.136  0.500
Mg  0.864  0.636  0.500
C  0.171  0.671  0.000
C  0.329  0.171  0.000
C  0.671  0.829  0.000
C  0.829  0.329  0.000

Which one sits at the top of the stability order? P does.